# Ce2PrNd8

A relaxed Ce2PrNd8 crystal (PBE, the Alexandria database).

POSCAR file:
```
Ce2PrNd8
1.0
-4.3747 -2.3864 2.6626
4.7700 -6.6735 1.8561
2.0733 8.0744 4.6486
Nd Pr Ce
8 1 2
Direct
0.8416 0.8416 0.6831 Nd
0.0000 0.7015 0.0000 Nd
0.6410 0.8455 0.2820 Nd
0.0000 0.2985 0.0000 Nd
0.1584 0.1584 0.3169 Nd
0.3590 0.1545 0.7180 Nd
0.6410 0.4364 0.2819 Nd
0.3590 0.5636 0.7181 Nd
0.5000 0.0000 0.0000 Pr
0.8006 0.3006 0.6011 Ce
0.1994 0.6994 0.3989 Ce
```

Calculated values
Size of the total moment = 1.61 Bohr magnetons per cell
Crystal system = orthorhombic
ρ = 6.80 g/cm³
Uncorrected energy = -53.1 eV per cell
Formation energy = 0.152 eV per atom

=====

# CePr12Nd7

A relaxed CePr12Nd7 crystal (PBE, the Alexandria database).

POSCAR file:
```
CePr12Nd7
1.0
6.7116 0.0001 1.9420
-3.7668 9.5318 4.6390
-0.8221 0.0001 11.2200
Pr Nd Ce
12 7 1
Direct
0.4846 0.7838 0.4298 Pr
0.7506 0.5491 0.5214 Pr
0.2720 0.5214 0.9296 Pr
0.7280 0.4786 0.0704 Pr
0.2992 0.2137 0.2162 Pr
0.7984 0.0704 0.4509 Pr
0.5154 0.2162 0.5702 Pr
0.9145 0.4298 0.7863 Pr
0.2494 0.4509 0.4786 Pr
0.0855 0.5702 0.2137 Pr
0.2016 0.9296 0.5491 Pr
0.7008 0.7863 0.7838 Pr
0.2038 0.8380 0.8635 Nd
0.5000 0.0000 0.0000 Nd
0.3658 0.2984 0.8380 Nd
0.9326 0.1365 0.7016 Nd
0.6342 0.7016 0.1620 Nd
0.7962 0.1620 0.1365 Nd
0.0674 0.8635 0.2984 Nd
0.0000 0.0000 0.0000 Ce
```

Calculated values
Size of the total moment = 1.08 Bohr magnetons per cell
Crystal system = trigonal
ρ = 6.44 g/cm³
Distance to the lowest polymorph of the same formula = 150.3 meV/atom
Uncorrected energy = -91.2 eV per cell
Formation energy = 0.273 eV per atom

=====

Which value of ρ does entry 1 give? 6.80 g/cm³

=====

uncorrected energy of number 2 (CePr12Nd7)? -91.2 eV per cell